Material: BaNiOs2
Method: DFT, PBE
State: optimized geometry

Results
DOS(E_F), states/eV/cell: 6.31
Total moment, μB/f.u.: 0.0
Energy above the lowest structure with this stoichiometry, meV/atom: 1154
Total energy, eV/atom: -6.17
ρ, g/cm3: 12.3
SG: I4/mmm

Cell: 6.1438 6.1438 6.1438 Å, 144.50 144.50 51.08°
Positions (direct):
1 Ba 0.2500 0.7500 0.5000
2 Os 0.0000 0.0000 0.0000
3 Os 0.5000 0.5000 0.0000
4 Ni 0.7500 0.2500 0.5000

---

Material: BaNiOs2
Method: DFT, PBE
State: optimized geometry

Results
DOS(E_F), states/eV/cell: 4.83
Total moment, μB/f.u.: 0.0
Energy above the lowest structure with this stoichiometry, meV/atom: 617
Total energy, eV/atom: -6.70
ρ, g/cm3: 11.6
SG: C2/m

Cell: 5.3745 5.3745 5.7511 Å, 72.99 72.99 31.33°
Positions (direct):
1 Os 0.4575 0.4575 0.6132
2 Os 0.0425 0.0425 0.8868
3 Ba 0.2500 0.2500 0.2500
4 Ni 0.7500 0.7500 0.7500

---

Material: BaNiOs2
Method: DFT, PBE
State: optimized geometry

Results
DOS(E_F), states/eV/cell: 12.18
Total moment, μB/f.u.: 0.0
Energy above the lowest structure with this stoichiometry, meV/atom: 628
Total energy, eV/atom: -6.69
ρ, g/cm3: 9.6
SG: I-42d

Cell: 4.8428 4.8428 9.1483 Å, 74.65 74.65 90.00°
Positions (direct):
1 Ba 0.7500 0.2500 0.5000
2 Ba 0.0000 0.0000 0.0000
3 Os 0.8750 0.6035 0.7500
4 Os 0.3535 0.1250 0.2500
5 Os 0.3965 0.6250 0.2500
6 Os 0.3750 0.6465 0.7500
7 Ni 0.2500 0.7500 0.5000
8 Ni 0.5000 0.5000 0.0000

---

Question: What is the ρ in the third record?
Answer: 9.6 g/cm3

---

Question: What is the total moment in the second record?
Answer: 0.0 μB/f.u.